(1)
{
  "formula": "Th6B2CS3",
  "functional": "PBE",
  "state": "optimized geometry",
  "raw_formation_energy_ev_per_atom": -1.0883,
  "magnetic_moment_mub_per_atom": 0.00,
  "rho_g_cm3": 9.33,
  "dos_ef_per_ev_atom": 0.5665,
  "lattice_angstrom": [[8.7974, -1.9744, 0.0000], [8.7974, 1.9744, 0.0000], [-2.1611, 0.0000, 7.8020]],
  "species": ["Th", "Th", "Th", "Th", "Th", "Th", "B", "B", "C", "S", "S", "S"],
  "fractional_positions": [[0.0053, 0.0053, 0.2264], [0.3270, 0.3270, 0.4339], [0.3433, 0.3433, 0.9046], [0.6567, 0.6567, 0.0954], [0.6730, 0.6730, 0.5661], [0.9947, 0.9947, 0.7736], [0.1648, 0.1648, 0.3300], [0.8352, 0.8352, 0.6700], [0.5000, 0.5000, 0.0000], [0.1689, 0.1689, 0.8329], [0.5000, 0.5000, 0.5000], [0.8311, 0.8311, 0.1671]]
}

---

(2)
{
  "formula": "Ti2BCS",
  "functional": "PBE",
  "state": "optimized geometry",
  "raw_formation_energy_ev_per_atom": 1.1015,
  "magnetic_moment_mub_per_atom": 0.00,
  "rho_g_cm3": 3.63,
  "dos_ef_per_ev_atom": 0.9648,
  "lattice_angstrom": [[4.4355, 0.0000, 0.0000], [0.0000, 4.4355, 0.0000], [0.0000, 0.0000, 3.5065]],
  "species": ["Ti", "Ti", "B", "C", "S"],
  "fractional_positions": [[0.0000, 0.5000, 0.0000], [0.5000, 0.0000, 0.0000], [0.0000, 0.0000, 0.5000], [0.5000, 0.5000, 0.5000], [0.0000, 0.0000, 0.0000]]
}

---

(3)
{
  "formula": "Zr6B2CS3",
  "functional": "PBE",
  "state": "optimized geometry",
  "raw_formation_energy_ev_per_atom": -1.2047,
  "magnetic_moment_mub_per_atom": 0.00,
  "rho_g_cm3": 5.75,
  "dos_ef_per_ev_atom": 0.2781,
  "lattice_angstrom": [[7.9409, -1.7557, 0.0000], [7.9409, 1.7557, 0.0000], [-2.1151, 0.0000, 7.0158]],
  "species": ["Zr", "Zr", "Zr", "Zr", "Zr", "Zr", "B", "B", "C", "S", "S", "S"],
  "fractional_positions": [[0.0090, 0.0090, 0.2208], [0.3250, 0.3250, 0.4385], [0.3444, 0.3444, 0.8971], [0.6556, 0.6556, 0.1029], [0.6750, 0.6750, 0.5615], [0.9910, 0.9910, 0.7792], [0.1658, 0.1658, 0.3311], [0.8342, 0.8342, 0.6689], [0.5000, 0.5000, 0.0000], [0.1670, 0.1670, 0.8332], [0.5000, 0.5000, 0.5000], [0.8330, 0.8330, 0.1668]]
}

---

(4)
{
  "formula": "ZrBCS2",
  "functional": "PBE",
  "state": "optimized geometry",
  "raw_formation_energy_ev_per_atom": 1.3314,
  "magnetic_moment_mub_per_atom": 0.00,
  "rho_g_cm3": 2.71,
  "dos_ef_per_ev_atom": 0.6007,
  "lattice_angstrom": [[5.0119, 0.0000, 0.0000], [0.0000, 5.0119, 0.0000], [0.0000, 0.0000, 4.3501]],
  "species": ["Zr", "B", "C", "S", "S"],
  "fractional_positions": [[0.0000, 0.0000, 0.0000], [0.5000, 0.5000, 0.5000], [0.0000, 0.0000, 0.5000], [0.0000, 0.5000, 0.0000], [0.5000, 0.0000, 0.0000]]
}

---

(5)
{
  "formula": "BSb2C",
  "functional": "PBE",
  "state": "optimized geometry",
  "raw_formation_energy_ev_per_atom": 1.8709,
  "magnetic_moment_mub_per_atom": 0.00,
  "polymorph_energy_ev_per_atom": 0.913,
  "rho_g_cm3": 7.01,
  "dos_ef_per_ev_atom": 0.4764,
  "lattice_angstrom": [[0.0000, 3.1590, 3.1590], [3.1590, 0.0000, 3.1590], [3.1590, 3.1590, 0.0000]],
  "species": ["B", "Sb", "Sb", "C"],
  "fractional_positions": [[0.0000, 0.0000, 0.0000], [0.2500, 0.2500, 0.2500], [0.7500, 0.7500, 0.7500], [0.5000, 0.5000, 0.5000]]
}

---

(6)
{
  "formula": "BSbC",
  "functional": "PBE",
  "state": "optimized geometry",
  "raw_formation_energy_ev_per_atom": 0.6646,
  "magnetic_moment_mub_per_atom": 0.00,
  "rho_g_cm3": 3.57,
  "dos_ef_per_ev_atom": 0.0906,
  "lattice_angstrom": [[6.3344, -1.4497, 0.0000], [6.3344, 1.4497, 0.0000], [-1.1496, 0.0000, 7.3318]],
  "species": ["B", "B", "Sb", "Sb", "C", "C"],
  "fractional_positions": [[0.1593, 0.1593, 0.3284], [0.8407, 0.8407, 0.6716], [0.3793, 0.3793, 0.9991], [0.6207, 0.6207, 0.0009], [0.3434, 0.3434, 0.6923], [0.6566, 0.6566, 0.3077]]
}

---

(7)
{
  "formula": "BSb2C",
  "functional": "PBE",
  "state": "optimized geometry",
  "raw_formation_energy_ev_per_atom": 0.9581,
  "magnetic_moment_mub_per_atom": 0.00,
  "polymorph_energy_ev_per_atom": 0.000,
  "rho_g_cm3": 6.10,
  "dos_ef_per_ev_atom": 0.4742,
  "lattice_angstrom": [[-2.6064, 2.6064, 5.3402], [2.6064, -2.6064, 5.3402], [2.6064, 2.6064, -5.3402]],
  "species": ["B", "B", "Sb", "Sb", "Sb", "Sb", "C", "C"],
  "fractional_positions": [[0.0000, 0.0000, 0.0000], [0.7500, 0.2500, 0.5000], [0.1255, 0.6250, 0.0005], [0.3750, 0.3755, 0.5005], [0.6245, 0.1250, 0.9995], [0.8750, 0.8745, 0.4995], [0.2500, 0.7500, 0.5000], [0.5000, 0.5000, 0.0000]]
}

---

(8)
{
  "formula": "BSb3C",
  "functional": "PBE",
  "state": "optimized geometry",
  "raw_formation_energy_ev_per_atom": 1.6893,
  "magnetic_moment_mub_per_atom": 0.00,
  "polymorph_energy_ev_per_atom": 0.000,
  "rho_g_cm3": 6.12,
  "dos_ef_per_ev_atom": 0.4231,
  "lattice_angstrom": [[4.7219, 0.0000, 0.0000], [0.0000, 4.7219, 0.0000], [0.0000, 0.0000, 4.7219]],
  "species": ["B", "Sb", "Sb", "Sb", "C"],
  "fractional_positions": [[0.0000, 0.0000, 0.0000], [0.0000, 0.5000, 0.5000], [0.5000, 0.0000, 0.5000], [0.5000, 0.5000, 0.0000], [0.5000, 0.5000, 0.5000]]
}

---

(9)
{
  "formula": "Si2BSbC",
  "functional": "PBE",
  "state": "optimized geometry",
  "raw_formation_energy_ev_per_atom": 0.8691,
  "magnetic_moment_mub_per_atom": 0.00,
  "rho_g_cm3": 4.15,
  "dos_ef_per_ev_atom": 0.3508,
  "lattice_angstrom": [[5.2872, 0.0000, 0.0000], [0.0000, 5.2872, 0.0000], [0.0000, 0.0000, 2.8740]],
  "species": ["Si", "Si", "B", "Sb", "C"],
  "fractional_positions": [[0.0000, 0.5000, 0.0000], [0.5000, 0.0000, 0.0000], [0.0000, 0.0000, 0.0000], [0.5000, 0.5000, 0.5000], [0.0000, 0.0000, 0.5000]]
}

---

(10)
{
  "formula": "TaBSb2C",
  "functional": "PBE",
  "state": "optimized geometry",
  "raw_formation_energy_ev_per_atom": 1.6740,
  "magnetic_moment_mub_per_atom": 0.00,
  "rho_g_cm3": 6.23,
  "dos_ef_per_ev_atom": 0.6795,
  "lattice_angstrom": [[5.4019, 0.0000, 0.0000], [0.0000, 5.4019, 0.0000], [0.0000, 0.0000, 4.0844]],
  "species": ["Ta", "B", "Sb", "Sb", "C"],
  "fractional_positions": [[0.0000, 0.0000, 0.0000], [0.5000, 0.5000, 0.5000], [0.0000, 0.5000, 0.0000], [0.5000, 0.0000, 0.0000], [0.0000, 0.0000, 0.5000]]
}

---

(11)
{
  "formula": "BSbTe2C",
  "functional": "PBE",
  "state": "optimized geometry",
  "raw_formation_energy_ev_per_atom": 1.7400,
  "magnetic_moment_mub_per_atom": 0.00,
  "polymorph_energy_ev_per_atom": 0.000,
  "rho_g_cm3": 6.17,
  "dos_ef_per_ev_atom": 0.8868,
  "lattice_angstrom": [[4.8244, 0.0000, 0.0000], [0.0000, 4.8244, 0.0000], [0.0000, 0.0000, 4.6259]],
  "species": ["B", "Sb", "Te", "Te", "C"],
  "fractional_positions": [[0.0000, 0.0000, 0.0000], [0.5000, 0.5000, 0.0000], [0.0000, 0.5000, 0.5000], [0.5000, 0.0000, 0.5000], [0.5000, 0.5000, 0.5000]]
}

---

(12)
{
  "formula": "BSb2TeC",
  "functional": "PBE",
  "state": "optimized geometry",
  "raw_formation_energy_ev_per_atom": 1.7093,
  "magnetic_moment_mub_per_atom": 0.00,
  "polymorph_energy_ev_per_atom": 0.000,
  "rho_g_cm3": 6.16,
  "dos_ef_per_ev_atom": 0.6191,
  "lattice_angstrom": [[4.6895, 0.0000, 0.0000], [0.0000, 4.6895, 0.0000], [0.0000, 0.0000, 4.8304]],
  "species": ["B", "Sb", "Sb", "Te", "C"],
  "fractional_positions": [[0.0000, 0.0000, 0.0000], [0.0000, 0.5000, 0.5000], [0.5000, 0.0000, 0.5000], [0.5000, 0.5000, 0.0000], [0.5000, 0.5000, 0.5000]]
}